# PBE Cd3AsRh, relaxed
# Energy above the most stable polymorph in this dataset ... 0.000 eV per atom
# Calculated formation energy ... 49.28 kJ per mole of atoms
# Magnetization ... 0.00 Bohr magnetons per cell
data_Cd3AsRh
_cell_length_a 5.093
_cell_length_b 5.093
_cell_length_c 5.093
_cell_angle_alpha 90.00
_cell_angle_beta 90.00
_cell_angle_gamma 90.00
_space_group_name_H-M_alt 'P 1'
_space_group_IT_number 1
_space_group_name_Hall 'P 1'
loop_
_atom_site_label
_atom_site_fract_x
_atom_site_fract_y
_atom_site_fract_z
Cd1 0.000 0.000 0.500
Cd2 0.000 0.500 0.000
Cd3 0.500 0.000 0.000
As1 0.500 0.500 0.500
Rh1 0.000 0.000 0.000